[1]
An optimized crystal structure of HgTePb2. Source: Alexandria, functional GGA-PBE.

Calculated values
The density of states at the Fermi level comes out at 1.3 states/eV per cell. The value obtained for the magnetic moment is 0.0 μB/f.u. As for the space group: I-42d. The energy above the lowest structure with this stoichiometry is 0.629 eV per formula unit. For the raw formation energy, the calculation gives 5.7 kJ per mole of atoms.

```
HgTePb2
1.0
-3.496 3.496 6.939
3.496 -3.496 6.939
3.496 3.496 -6.939
Hg Te Pb
2 2 4
Direct
0.000 0.000 0.000 Hg
0.750 0.250 0.500 Hg
0.250 0.750 0.500 Te
0.500 0.500 0.000 Te
0.109 0.625 0.984 Pb
0.375 0.359 0.484 Pb
0.641 0.125 0.016 Pb
0.875 0.891 0.516 Pb
```

[2]
An optimized crystal structure of HgTe3Pb. Source: Alexandria, functional GGA-PBE.

Calculated values
The density of states at the Fermi level comes out at 5.2 states/eV per cell. The value obtained for the magnetic moment is 0.0 μB/f.u. As for the space group: Pm-3m. The energy above the lowest structure with this stoichiometry is 0.767 eV per formula unit. For the raw formation energy, the calculation gives 48.3 kJ per mole of atoms.

```
HgTe3Pb
1.0
5.901 0.000 0.000
0.000 5.901 0.000
0.000 0.000 5.901
Hg Te Pb
1 3 1
Direct
0.000 0.000 0.000 Hg
0.000 0.500 0.500 Te
0.500 0.000 0.500 Te
0.500 0.500 0.000 Te
0.500 0.500 0.500 Pb
```

[3]
An optimized crystal structure of HgTePb2. Source: Alexandria, functional GGA-PBE.

Calculated values
The density of states at the Fermi level comes out at 1.0 states/eV per cell. The value obtained for the magnetic moment is 0.0 μB/f.u. As for the space group: Pm. The energy above the lowest structure with this stoichiometry is 0.271 eV per formula unit. For the raw formation energy, the calculation gives -2.9 kJ per mole of atoms.

```
HgTePb2
1.0
3.316 0.000 0.000
0.000 5.892 0.000
-1.547 0.000 6.308
Hg Te Pb
1 1 2
Direct
0.000 0.000 0.000 Hg
0.389 0.500 0.763 Te
0.257 0.000 0.506 Pb
0.636 0.500 0.262 Pb
```

[4]
An optimized crystal structure of HgTe2Pb2. Source: Alexandria, functional GGA-PBE.

Calculated values
The value obtained for the magnetic moment is 0.0 μB/f.u. As for the space group: Pnma. The energy above the lowest structure with this stoichiometry is 0.000 eV per formula unit. For the raw formation energy, the calculation gives -22.2 kJ per mole of atoms.

```
HgTe2Pb2
1.0
9.893 0.000 0.000
0.000 6.443 0.000
0.000 0.000 11.616
Hg Te Pb
4 8 8
Direct
0.236 0.250 0.144 Hg
0.264 0.750 0.644 Hg
0.736 0.250 0.356 Hg
0.764 0.750 0.856 Hg
0.051 0.750 0.352 Te
0.125 0.750 0.929 Te
0.375 0.250 0.429 Te
0.449 0.250 0.852 Te
0.551 0.750 0.148 Te
0.625 0.750 0.571 Te
0.875 0.250 0.071 Te
0.949 0.250 0.648 Te
0.068 0.250 0.398 Pb
0.107 0.250 0.881 Pb
0.393 0.750 0.381 Pb
0.432 0.750 0.898 Pb
0.568 0.250 0.102 Pb
0.607 0.250 0.619 Pb
0.893 0.750 0.119 Pb
0.932 0.750 0.602 Pb
```

[5]
An optimized crystal structure of Hg4Te5Pb2. Source: Alexandria, functional GGA-PBE.

Calculated values
The density of states at the Fermi level comes out at 2.5 states/eV per cell. The value obtained for the magnetic moment is 0.0 μB/f.u. As for the space group: R-3m. For the raw formation energy, the calculation gives -13.5 kJ per mole of atoms.

```
Hg4Te5Pb2
1.0
2.318 1.338 20.753
-2.318 1.338 20.753
0.000 -2.676 20.753
Hg Te Pb
4 5 2
Direct
0.084 0.084 0.084 Hg
0.184 0.184 0.184 Hg
0.816 0.816 0.816 Hg
0.916 0.916 0.916 Hg
0.000 0.000 0.000 Te
0.130 0.130 0.130 Te
0.273 0.273 0.273 Te
0.727 0.727 0.727 Te
0.870 0.870 0.870 Te
0.363 0.363 0.363 Pb
0.637 0.637 0.637 Pb
```

[6]
An optimized crystal structure of HgTePb. Source: Alexandria, functional GGA-PBE.

Calculated values
The density of states at the Fermi level comes out at 0.1 states/eV per cell. The value obtained for the magnetic moment is 0.0 μB/f.u. As for the space group: C2/m. The energy above the lowest structure with this stoichiometry is 0.170 eV per formula unit. For the raw formation energy, the calculation gives -16.6 kJ per mole of atoms.

```
HgTePb
1.0
6.367 -2.278 0.000
6.367 2.278 0.000
-0.594 0.000 7.828
Hg Te Pb
2 2 2
Direct
0.164 0.164 0.435 Hg
0.836 0.836 0.565 Hg
0.122 0.122 0.852 Te
0.878 0.878 0.148 Te
0.364 0.364 0.878 Pb
0.636 0.636 0.122 Pb
```

[7]
An optimized crystal structure of HgTePb2. Source: Alexandria, functional GGA-PBE.

Calculated values
The density of states at the Fermi level comes out at 1.5 states/eV per cell. The value obtained for the magnetic moment is 0.0 μB/f.u. As for the space group: C2/m. The energy above the lowest structure with this stoichiometry is 0.175 eV per formula unit. For the raw formation energy, the calculation gives -5.2 kJ per mole of atoms.

```
HgTePb2
1.0
4.594 -2.132 0.000
4.594 2.132 0.000
-2.113 0.000 6.567
Hg Te Pb
1 1 2
Direct
0.000 0.000 0.000 Hg
0.500 0.500 0.500 Te
0.249 0.249 0.772 Pb
0.751 0.751 0.228 Pb
```

[8]
An optimized crystal structure of HgTePb2. Source: Alexandria, functional GGA-PBE.

Calculated values
The density of states at the Fermi level comes out at 1.9 states/eV per cell. The value obtained for the magnetic moment is 0.0 μB/f.u. As for the space group: R-3m. The energy above the lowest structure with this stoichiometry is 0.027 eV per formula unit. For the raw formation energy, the calculation gives -8.8 kJ per mole of atoms.

```
HgTePb2
1.0
2.097 1.211 8.553
-2.097 1.211 8.553
0.000 -2.422 8.553
Hg Te Pb
1 1 2
Direct
0.000 0.000 0.000 Hg
0.500 0.500 0.500 Te
0.248 0.248 0.248 Pb
0.752 0.752 0.752 Pb
```

[9]
An optimized crystal structure of HgTePb2. Source: Alexandria, functional GGA-PBE.

Calculated values
The density of states at the Fermi level comes out at 2.7 states/eV per cell. The value obtained for the magnetic moment is 0.0 μB/f.u. As for the space group: Fm-3m. The energy above the lowest structure with this stoichiometry is 0.275 eV per formula unit. For the raw formation energy, the calculation gives -2.8 kJ per mole of atoms.

```
HgTePb2
1.0
0.000 3.925 3.925
3.925 0.000 3.925
3.925 3.925 0.000
Hg Te Pb
1 1 2
Direct
0.000 0.000 0.000 Hg
0.500 0.500 0.500 Te
0.250 0.250 0.250 Pb
0.750 0.750 0.750 Pb
```

[10]
An optimized crystal structure of HgTePb2. Source: Alexandria, functional GGA-PBE.

Calculated values
The density of states at the Fermi level comes out at 1.9 states/eV per cell. The value obtained for the magnetic moment is 0.0 μB/f.u. As for the space group: R3m. The energy above the lowest structure with this stoichiometry is 0.144 eV per formula unit. For the raw formation energy, the calculation gives -6.0 kJ per mole of atoms.

```
HgTePb2
1.0
2.089 1.206 8.587
-2.089 1.206 8.587
0.000 -2.412 8.587
Hg Te Pb
1 1 2
Direct
0.000 0.000 0.000 Hg
0.832 0.832 0.832 Te
0.416 0.416 0.416 Pb
0.584 0.584 0.584 Pb
```

[11]
An optimized crystal structure of HgTe2Pb2. Source: Alexandria, functional GGA-PBE.

Calculated values
The density of states at the Fermi level comes out at 0.5 states/eV per cell. The value obtained for the magnetic moment is 0.0 μB/f.u. As for the space group: P4/mbm. The energy above the lowest structure with this stoichiometry is 0.180 eV per formula unit. For the raw formation energy, the calculation gives -18.7 kJ per mole of atoms.

```
HgTe2Pb2
1.0
8.868 0.000 0.000
0.000 8.868 0.000
0.000 0.000 4.216
Hg Te Pb
2 4 4
Direct
0.000 0.000 0.000 Hg
0.500 0.500 0.000 Hg
0.153 0.347 0.500 Te
0.347 0.847 0.500 Te
0.653 0.153 0.500 Te
0.847 0.653 0.500 Te
0.145 0.645 0.000 Pb
0.355 0.145 0.000 Pb
0.645 0.855 0.000 Pb
0.855 0.355 0.000 Pb
```

[12]
An optimized crystal structure of Hg2Te2Pb. Source: Alexandria, functional GGA-PBE.

Calculated values
The density of states at the Fermi level comes out at 5.0 states/eV per cell. The value obtained for the magnetic moment is 0.0 μB/f.u. As for the space group: P4/mbm. The energy above the lowest structure with this stoichiometry is 0.375 eV per formula unit. For the raw formation energy, the calculation gives 2.1 kJ per mole of atoms.

```
Hg2Te2Pb
1.0
8.557 0.000 0.000
0.000 8.557 0.000
0.000 0.000 4.138
Hg Te Pb
4 4 2
Direct
0.145 0.355 0.000 Hg
0.355 0.855 0.000 Hg
0.645 0.145 0.000 Hg
0.855 0.645 0.000 Hg
0.163 0.663 0.500 Te
0.337 0.163 0.500 Te
0.663 0.837 0.500 Te
0.837 0.337 0.500 Te
0.000 0.000 0.500 Pb
0.500 0.500 0.500 Pb
```